(1)
NdDyEr5 | PBE | relaxed

a = 11.590 Å, b = 6.764 Å, c = 12.072 Å
α = 90.00°, β = 109.70°, γ = 90.00°
Space group C2/c (No. 15)
Unique sites:
Nd1 0.000 0.027 0.250 (multiplicity 4)
Dy1 0.250 0.250 0.000 (multiplicity 4)
Er1 0.000 0.410 0.750 (multiplicity 4)
Er2 0.079 0.275 0.499 (multiplicity 8)
Er3 0.220 0.362 0.249 (multiplicity 8)

Its calculated formation energy is 0.1997 eV per atom. The volume comes out at 31.8 Å³/atom. The calculated total energy is -123.1 eV/cell. The value obtained for the offset from the most stable computed form is 0.000 eV per atom. Its total magnetization is 0.0 μB per formula unit.

=====

(2)
Nd3Dy2Er7 | PBE | relaxed

a = 6.317 Å, b = 3.520 Å, c = 17.469 Å
α = 90.00°, β = 96.31°, γ = 90.00°
Space group P2/m (No. 10)
Unique sites:
Nd1 0.000 0.000 0.000 (multiplicity 1)
Nd2 0.047 0.500 0.659 (multiplicity 2)
Dy1 0.444 0.000 0.326 (multiplicity 2)
Er1 0.229 0.500 0.165 (multiplicity 2)
Er2 0.247 0.000 0.500 (multiplicity 2)
Er3 0.276 0.000 0.834 (multiplicity 2)
Er4 0.500 0.500 0.000 (multiplicity 1)

Its calculated formation energy is 0.0890 eV per atom. The volume comes out at 32.2 Å³/atom. The calculated total energy is -54.4 eV/cell. Its total magnetization is 0.0 μB per formula unit.

=====

(3)
Nd7DyEr3 | PBE | relaxed

a = 12.794 Å, b = 11.394 Å, c = 5.902 Å
α = 90.00°, β = 117.44°, γ = 90.00°
Space group C2/m (No. 12)
Unique sites:
Nd1 0.000 0.000 0.000 (multiplicity 2)
Nd2 0.192 0.289 0.692 (multiplicity 8)
Nd3 0.209 0.500 0.208 (multiplicity 4)
Dy1 0.000 0.000 0.500 (multiplicity 2)
Er1 0.000 0.296 0.000 (multiplicity 4)
Er2 0.000 0.500 0.500 (multiplicity 2)

Its calculated formation energy is 0.2268 eV per atom. The volume comes out at 34.7 Å³/atom. The calculated total energy is -98.3 eV/cell. The value obtained for the offset from the most stable computed form is 0.092 eV per atom. Its total magnetization is 0.0 μB per formula unit.

=====

(4)
Nd5DyEr2 | PBE | relaxed

a = 9.246 Å, b = 9.246 Å, c = 12.684 Å
α = 90.00°, β = 90.00°, γ = 90.00°
Space group I4/mcm (No. 140)
Unique sites:
Nd1 0.000 0.000 0.000 (multiplicity 4)
Nd2 0.150 0.350 0.164 (multiplicity 16)
Dy1 0.000 0.000 0.250 (multiplicity 4)
Er1 0.146 0.354 0.500 (multiplicity 8)

Its calculated formation energy is 0.1154 eV per atom. The volume comes out at 33.9 Å³/atom. The calculated total energy is -146.6 eV/cell. The value obtained for the offset from the most stable computed form is 0.000 eV per atom. Its total magnetization is 0.4 μB per formula unit.

=====

(5)
Nd4Dy7Er | PBE | relaxed

a = 6.557 Å, b = 6.848 Å, c = 9.122 Å
α = 85.26°, β = 77.25°, γ = 82.09°
Space group P-1 (No. 2)
Unique sites:
Nd1 0.140 0.311 0.283 (multiplicity 2)
Nd2 0.338 0.884 0.694 (multiplicity 2)
Dy1 0.011 0.253 0.949 (multiplicity 2)
Dy2 0.182 0.802 0.359 (multiplicity 2)
Dy3 0.312 0.394 0.616 (multiplicity 2)
Dy4 0.500 0.000 0.000 (multiplicity 1)
Er1 0.500 0.500 0.000 (multiplicity 1)

Its calculated formation energy is 0.0885 eV per atom. The volume comes out at 32.9 Å³/atom. The calculated total energy is -54.8 eV/cell. The value obtained for the offset from the most stable computed form is 0.000 eV per atom. Its total magnetization is 0.0 μB per formula unit.

=====

(6)
Nd4Dy4Er3 | PBE | relaxed

a = 3.612 Å, b = 9.413 Å, c = 21.706 Å
α = 90.00°, β = 90.00°, γ = 90.00°
Space group Immm (No. 71)
Unique sites:
Nd1 0.000 0.178 0.144 (multiplicity 8)
Dy1 0.000 0.317 0.000 (multiplicity 4)
Dy2 0.000 0.500 0.239 (multiplicity 4)
Er1 0.000 0.000 0.393 (multiplicity 4)
Er2 0.000 0.500 0.500 (multiplicity 2)

Its calculated formation energy is 0.1216 eV per atom. The volume comes out at 33.5 Å³/atom. The calculated total energy is -99.7 eV/cell. The value obtained for the offset from the most stable computed form is 0.059 eV per atom. Its total magnetization is 0.0 μB per formula unit.